Run a
Entry from Alexandria via LeMat-Bulk: a geometry-optimized CdAg2Pt2 structure (PBE).

Calculated volume: 189.00 Å³ per cell

Cell lengths 6.9369, 6.9369, 3.9277 Å; angles 90.00, 90.00, 90.00 degrees
With the nearest neighbours (Å) after each atom.
Space group P4/mbm (No. 127)
Asymmetric unit:
Cd 0.0000 0.0000 0.0000 (multiplicity 2)  4 Pt 2.71
Ag 0.1649 0.3351 0.5000 (multiplicity 4)  6 Pt 2.79-2.86
Pt 0.1336 0.6336 0.0000 (multiplicity 4)  1 Pt 2.62, 2 Cd 2.71, 6 Ag 2.79-2.86

---

Run b
Entry from Alexandria via LeMat-Bulk: a geometry-optimized CdAg2Pt2 structure (PBE).

Calculated volume: 183.23 Å³ per cell

Cell lengths 7.8800, 7.8800, 2.9507 Å; angles 90.00, 90.00, 90.00 degrees
With the nearest neighbours (Å) after each atom.
Space group P4/mbm (No. 127)
Asymmetric unit:
Cd 0.0000 0.0000 0.0000 (multiplicity 2)  2 Cd 2.95, 4 Ag 3.11, 8 Pt 3.27
Ag 0.1260 0.3740 0.0000 (multiplicity 4)  6 Pt 2.69-2.79, 3 Ag 2.81-2.95
Pt 0.1717 0.6717 0.5000 (multiplicity 4)  6 Ag 2.69-2.79, 2 Pt 2.95

---

Run c
Entry from Alexandria via LeMat-Bulk: a geometry-optimized CdAg2Pt2 structure (PBE).

Calculated volume: 193.41 Å³ per cell

Cell lengths 3.8255, 3.8255, 13.2162 Å; angles 90.00, 90.00, 90.00 degrees
With the nearest neighbours (Å) after each atom.
Space group I4/mmm (No. 139)
Asymmetric unit:
Cd 0.0000 0.0000 0.0000 (multiplicity 2)  8 Pt 3.00
Ag 0.0000 0.5000 0.2500 (multiplicity 4)  4 Ag 2.71, 4 Pt 2.78
Pt 0.0000 0.0000 0.4025 (multiplicity 4)  1 Pt 2.58, 4 Ag 2.78

---

Here are the energies relative to the best structure, in meV per atom: run a 0; run b 93; run c 130.

---

Run a
Entry from Alexandria via LeMat-Bulk: a geometry-optimized Cd2Ag2Pt structure (PBE).

Calculated volume: 189.10 Å³ per cell

Cell lengths 7.7805, 7.7805, 3.1239 Å; angles 90.00, 90.00, 90.00 degrees
With the nearest neighbours (Å) after each atom.
Space group P4/mbm (No. 127)
Asymmetric unit:
Cd 0.1726 0.3274 0.0000 (multiplicity 4)  6 Ag 2.70-2.83
Ag 0.1274 0.6274 0.5000 (multiplicity 4)  6 Cd 2.70-2.83, 1 Ag 2.80
Pt 0.0000 0.0000 0.5000 (multiplicity 2)  4 Ag 3.06, 2 Pt 3.12, 8 Cd 3.28

---

Run b
Entry from Alexandria via LeMat-Bulk: a geometry-optimized Cd2Ag2Pt structure (PBE).

Calculated volume: 183.50 Å³ per cell

Cell lengths 8.8965, 4.2739, 6.3358 Å; angles 90.00, 130.39, 90.00 degrees
With the nearest neighbours (Å) after each atom.
Space group C2/m (No. 12)
Asymmetric unit:
Cd 0.0995 0.0000 0.3085 (multiplicity 4)  3 Pt 2.87-2.93, 6 Ag 2.88-3.06, 3 Cd 3.03-3.07
Ag 0.1988 0.5000 0.0947 (multiplicity 4)  3 Ag 2.87-2.91, 6 Cd 2.88-3.06, 3 Pt 2.95-3.07
Pt 0.0000 0.5000 0.5000 (multiplicity 2)  6 Cd 2.87-2.93, 6 Ag 2.95-3.07

---

Here are the energies relative to the best structure, in meV per atom: run a 218; run b 0.

---

Run a
Entry from Alexandria via LeMat-Bulk: a geometry-optimized Cd4AgPt2 structure (PBE).

Calculated volume: 419.58 Å³ per cell

Cell lengths 4.6727, 4.6727, 22.1897 Å; angles 90.00, 90.00, 120.00 degrees
With the nearest neighbours (Å) after each atom.
Space group R-3m (No. 166, hexagonal axes)
Asymmetric unit:
Cd 0.0000 0.0000 0.1140 (multiplicity 6)  4 Pt 2.76-2.90, 3 Ag 2.94
Cd 0.0000 0.0000 0.3693 (multiplicity 6)  4 Pt 2.77-2.94, 1 Ag 2.90
Ag 0.0000 0.0000 0.5000 (multiplicity 3)  8 Cd 2.90-2.94, 6 Pt 3.20
Pt 0.0000 0.0000 0.2446 (multiplicity 6)  8 Cd 2.76-2.94

---

Run b
Entry from Alexandria via LeMat-Bulk: a geometry-optimized Cd4AgPt2 structure (PBE).

Calculated volume: 280.71 Å³ per cell

Cell lengths 7.0520, 5.7000, 7.6357 Å; angles 90.00, 113.85, 90.00 degrees
With the nearest neighbours (Å) after each atom.
Space group P2_1/m (No. 11)
Asymmetric unit:
Cd 0.0390 0.2500 0.3987 (multiplicity 2)  2 Pt 2.78, 3 Cd 3.02-3.09, 1 Ag 3.05
Cd 0.1251 0.7500 0.2918 (multiplicity 2)  2 Pt 2.73-2.75, 1 Ag 2.81, 1 Cd 3.02
Cd 0.4000 0.0024 0.7698 (multiplicity 4)  4 Pt 2.77-2.87, 2 Cd 2.82-2.88, 1 Ag 3.00
Ag 0.1922 0.2500 0.0783 (multiplicity 2)  4 Cd 2.81-3.05, 4 Pt 2.85-2.98
Pt 0.2353 0.7500 0.9852 (multiplicity 2)  6 Cd 2.75-2.87, 3 Ag 2.85-2.98
Pt 0.4603 0.2500 0.4786 (multiplicity 2)  6 Cd 2.73-2.85, 1 Ag 2.87, 2 Pt 2.90

---

Here are the energies relative to the best structure, in meV per atom: run a 0; run b 133.

---

Run a
Entry from Alexandria via LeMat-Bulk: a geometry-optimized Cd2AgPt2 structure (PBE).

Calculated volume: 191.85 Å³ per cell

Cell lengths 4.5428, 4.5428, 10.7341 Å; angles 90.00, 90.00, 120.00 degrees
With the nearest neighbours (Å) after each atom.
Space group P6_3/mmc (No. 194)
Asymmetric unit:
Cd 0.3333 0.6667 0.1000 (multiplicity 4)  6 Pt 2.83-3.08, 3 Ag 3.08
Ag 0.0000 0.0000 0.2500 (multiplicity 2)  5 Pt 2.62-2.68
Pt 0.0000 0.0000 0.0000 (multiplicity 2)  2 Ag 2.68, 6 Cd 2.83
Pt 0.3333 0.6667 0.7500 (multiplicity 2)  3 Ag 2.62

---

Run b
Entry from Alexandria via LeMat-Bulk: a geometry-optimized Cd2AgPt2 structure (PBE).

Calculated volume: 188.19 Å³ per cell

Cell lengths 7.8848, 7.8848, 3.0270 Å; angles 90.00, 90.00, 90.00 degrees
With the nearest neighbours (Å) after each atom.
Space group P4/mbm (No. 127)
Asymmetric unit:
Cd 0.1690 0.3310 0.0000 (multiplicity 4)  6 Pt 2.72-2.81, 2 Cd 3.03
Ag 0.0000 0.0000 0.5000 (multiplicity 2)  2 Ag 3.03, 4 Pt 3.10, 8 Cd 3.30
Pt 0.1288 0.6288 0.5000 (multiplicity 4)  6 Cd 2.72-2.81, 3 Pt 2.87-3.03

---

Here are the energies relative to the best structure, in meV per atom: run a 180; run b 0.